A plane-wave DFT calculation with PBE was carried out for a relaxed ZrScSnPd crystal.

Computed properties:
ΔE_f = -223 kJ/mol of formula units

Cell lengths 4.8847, 4.8847, 4.8847 Å; angles 60.00, 60.00, 60.00 degrees
Last column: nearest neighbours and their distance in Å.
Fractional coordinates of all 4 atoms:
Sc 0.0000 0.0000 0.0000  4 Sn 2.99, 4 Pd 2.99
Zr 0.5000 0.5000 0.5000  4 Sn 2.99, 4 Pd 2.99
Sn 0.7500 0.7500 0.7500  4 Zr 2.99, 4 Sc 2.99
Pd 0.2500 0.2500 0.2500  4 Sc 2.99, 4 Zr 2.99